Material: Ho6BiAs3Se2
Method: DFT, PBE
State: relaxed

a = 9.295 Å, b = 9.295 Å, c = 8.335 Å
α = 103.41°, β = 103.41°, γ = 25.75°
Fractional coordinates of all 12 atoms:
Ho  0.002  0.002  0.233
Ho  0.326  0.326  0.422
Ho  0.336  0.336  0.909
Ho  0.664  0.664  0.091
Ho  0.674  0.674  0.578
Ho  0.998  0.998  0.767
Bi  0.500  0.500  0.500
As  0.166  0.166  0.331
As  0.500  0.500  0.000
As  0.834  0.834  0.669
Se  0.169  0.169  0.837
Se  0.831  0.831  0.163

Results
The raw formation energy comes out at -1.51 eV per atom. The calculation puts the density of states at the Fermi level at 4.024 states/eV/cell. As for the theoretical density: 8.6 g/cm³.

Material: Ba2HfRh
Method: DFT, PBE
State: relaxed

a = 7.871 Å, b = 7.871 Å, c = 7.871 Å
α = 90.00°, β = 90.00°, γ = 90.00°
Fractional coordinates of all 16 atoms:
Ba  0.250  0.250  0.250
Ba  0.250  0.250  0.750
Ba  0.250  0.750  0.250
Ba  0.250  0.750  0.750
Ba  0.750  0.250  0.250
Ba  0.750  0.250  0.750
Ba  0.750  0.750  0.250
Ba  0.750  0.750  0.750
Hf  0.000  0.000  0.000
Hf  0.000  0.500  0.500
Hf  0.500  0.000  0.500
Hf  0.500  0.500  0.000
Rh  0.000  0.000  0.500
Rh  0.000  0.500  0.000
Rh  0.500  0.000  0.000
Rh  0.500  0.500  0.500

Results
The calculation puts the density of states at the Fermi level at 28.566 states/eV/cell. As for the theoretical density: 7.6 g/cm³. The energy above the most stable polymorph in this dataset is 522 meV per atom.

Material: AsIr2Se
Method: DFT, PBE
State: relaxed

a = 3.500 Å, b = 3.500 Å, c = 5.526 Å
α = 90.00°, β = 90.00°, γ = 90.00°
Fractional coordinates of all 4 atoms:
As  0.000  0.000  0.000
Ir  0.000  0.000  0.449
Ir  0.500  0.500  0.148
Se  0.500  0.500  0.588

Results
The raw formation energy comes out at 0.12 eV per atom. The calculation puts the density of states at the Fermi level at 1.315 states/eV/cell. As for the theoretical density: 13.2 g/cm³. The energy above the most stable polymorph in this dataset is 81 meV per atom.

Material: Ce2HoTh7
Method: DFT, PBE
State: relaxed

a = 9.356 Å, b = 9.356 Å, c = 7.072 Å
α = 101.10°, β = 101.10°, γ = 30.86°
Fractional coordinates of all 10 atoms:
Ce  0.199  0.199  0.099
Ce  0.801  0.801  0.901
Ho  0.000  0.000  0.500
Th  0.000  0.000  0.000
Th  0.200  0.200  0.602
Th  0.398  0.398  0.198
Th  0.399  0.399  0.699
Th  0.601  0.601  0.301
Th  0.602  0.602  0.802
Th  0.800  0.800  0.398

Results
The calculation puts the density of states at the Fermi level at 17.580 states/eV/cell. The calculated total energy comes out at -68.108 eV per cell. As for the theoretical density: 11.0 g/cm³.

Material: Ca2AgTe
Method: DFT, PBE
State: relaxed

a = 4.501 Å, b = 4.501 Å, c = 21.436 Å
α = 90.00°, β = 90.00°, γ = 120.00°
Fractional coordinates of all 12 atoms:
Ca  0.000  0.000  0.247
Ca  0.000  0.000  0.753
Ca  0.333  0.667  0.419
Ca  0.333  0.667  0.914
Ca  0.667  0.333  0.086
Ca  0.667  0.333  0.581
Ag  0.000  0.000  0.500
Ag  0.333  0.667  0.167
Ag  0.667  0.333  0.833
Te  0.000  0.000  0.000
Te  0.333  0.667  0.667
Te  0.667  0.333  0.333

Results
The raw formation energy comes out at -0.82 eV per atom. The calculation puts the density of states at the Fermi level at 6.180 states/eV/cell. As for the theoretical density: 4.2 g/cm³.

Material: Tb2InSe5
Method: DFT, PBE
State: relaxed

a = 7.622 Å, b = 7.622 Å, c = 12.753 Å
α = 90.00°, β = 90.00°, γ = 135.99°
Fractional coordinates of all 16 atoms:
Tb  0.165  0.835  0.569
Tb  0.165  0.835  0.931
Tb  0.835  0.165  0.069
Tb  0.835  0.165  0.431
In  0.183  0.817  0.250
In  0.817  0.183  0.750
Se  0.033  0.967  0.104
Se  0.033  0.967  0.396
Se  0.284  0.716  0.750
Se  0.311  0.689  0.086
Se  0.311  0.689  0.414
Se  0.689  0.311  0.586
Se  0.689  0.311  0.914
Se  0.716  0.284  0.250
Se  0.967  0.033  0.604
Se  0.967  0.033  0.896

Results
The raw formation energy comes out at -1.18 eV per atom. The calculation puts the density of states at the Fermi level at 11.074 states/eV/cell. As for the theoretical density: 5.3 g/cm³.

Material: RbPtSe3
Method: DFT, PBE
State: relaxed

a = 5.700 Å, b = 5.700 Å, c = 5.700 Å
α = 90.00°, β = 90.00°, γ = 90.00°
Fractional coordinates of all 5 atoms:
Rb  0.000  0.000  0.000
Pt  0.500  0.500  0.500
Se  0.000  0.000  0.500
Se  0.000  0.500  0.000
Se  0.500  0.000  0.000

Results
The raw formation energy comes out at 1.79 eV per atom. The calculation puts the density of states at the Fermi level at 13.100 states/eV/cell. As for the theoretical density: 4.6 g/cm³.

Material: PmEuTe
Method: DFT, PBE
State: relaxed

a = 5.342 Å, b = 5.342 Å, c = 4.246 Å
α = 90.00°, β = 90.00°, γ = 120.00°
Fractional coordinates of all 3 atoms:
Pm  0.000  0.000  0.000
Eu  0.667  0.333  0.499
Te  0.333  0.667  0.003

Results
The raw formation energy comes out at -0.62 eV per atom. The calculation puts the density of states at the Fermi level at 4.094 states/eV/cell. As for the theoretical density: 6.7 g/cm³.

Material: Ba2TaNi
Method: DFT, PBE
State: relaxed

a = 3.561 Å, b = 3.561 Å, c = 30.414 Å
α = 90.00°, β = 90.00°, γ = 120.00°
Fractional coordinates of all 12 atoms:
Ba  0.000  0.000  0.240
Ba  0.000  0.000  0.760
Ba  0.333  0.667  0.427
Ba  0.333  0.667  0.906
Ba  0.667  0.333  0.094
Ba  0.667  0.333  0.573
Ta  0.000  0.000  0.000
Ta  0.333  0.667  0.667
Ta  0.667  0.333  0.333
Ni  0.000  0.000  0.500
Ni  0.333  0.667  0.167
Ni  0.667  0.333  0.833

Results
The calculation puts the density of states at the Fermi level at 17.507 states/eV/cell. As for the theoretical density: 7.7 g/cm³. The energy above the most stable polymorph in this dataset is 647 meV per atom.

Material: Sm3SnSe2
Method: DFT, PBE
State: relaxed

a = 4.302 Å, b = 6.071 Å, c = 12.817 Å
α = 90.00°, β = 90.00°, γ = 90.00°
Fractional coordinates of all 12 atoms:
Sm  0.000  0.000  0.000
Sm  0.000  0.000  0.328
Sm  0.000  0.000  0.672
Sm  0.500  0.500  0.172
Sm  0.500  0.500  0.500
Sm  0.500  0.500  0.828
Sn  0.000  0.500  0.000
Sn  0.500  0.000  0.500
Se  0.000  0.500  0.335
Se  0.000  0.500  0.665
Se  0.500  0.000  0.165
Se  0.500  0.000  0.835

Results
The raw formation energy comes out at -1.48 eV per atom. The calculation puts the density of states at the Fermi level at 4.519 states/eV/cell. As for the theoretical density: 7.2 g/cm³. The energy above the most stable polymorph in this dataset is 4 meV per atom.

Material: InSbPCl2
Method: DFT, PBE
State: relaxed

a = 5.116 Å, b = 5.116 Å, c = 5.471 Å
α = 90.00°, β = 90.00°, γ = 90.00°
Fractional coordinates of all 5 atoms:
In  0.000  0.000  0.000
Sb  0.500  0.500  0.500
P  0.000  0.000  0.500
Cl  0.000  0.500  0.000
Cl  0.500  0.000  0.000

Results
The raw formation energy comes out at 0.15 eV per atom. The calculation puts the density of states at the Fermi level at 3.125 states/eV/cell. As for the theoretical density: 3.9 g/cm³. The energy above the most stable polymorph in this dataset is 96 meV per atom.

Material: BaGa6Rh3
Method: DFT, PBE
State: relaxed

a = 6.856 Å, b = 6.986 Å, c = 9.203 Å
α = 90.00°, β = 121.31°, γ = 90.00°
Fractional coordinates of all 20 atoms:
Ba  0.000  0.000  0.000
Ba  0.000  0.500  0.500
Ga  0.112  0.013  0.679
Ga  0.112  0.487  0.179
Ga  0.261  0.705  0.863
Ga  0.261  0.795  0.363
Ga  0.470  0.214  0.302
Ga  0.470  0.286  0.802
Ga  0.530  0.714  0.198
Ga  0.530  0.786  0.698
Ga  0.739  0.205  0.637
Ga  0.739  0.295  0.137
Ga  0.888  0.513  0.821
Ga  0.888  0.987  0.321
Rh  0.334  0.095  0.535
Rh  0.334  0.405  0.035
Rh  0.500  0.000  0.000
Rh  0.500  0.500  0.500
Rh  0.666  0.595  0.965
Rh  0.666  0.905  0.465

Results
The calculation puts the density of states at the Fermi level at 9.971 states/eV/cell. The calculated total energy comes out at -92.429 eV per cell. As for the theoretical density: 7.6 g/cm³.

Material: BaTa2Pt
Method: DFT, PBE
State: relaxed

a = 10.009 Å, b = 3.085 Å, c = 6.760 Å
α = 90.00°, β = 100.84°, γ = 90.00°
Fractional coordinates of all 8 atoms:
Ba  0.000  0.000  0.000
Ba  0.500  0.500  0.000
Ta  0.029  0.500  0.501
Ta  0.299  0.500  0.403
Ta  0.529  0.000  0.501
Ta  0.799  0.000  0.403
Pt  0.235  0.000  0.698
Pt  0.735  0.500  0.698

Results
The calculation puts the density of states at the Fermi level at 6.955 states/eV/cell. As for the theoretical density: 11.2 g/cm³. The energy above the most stable polymorph in this dataset is 216 meV per atom.

Material: YZrPt
Method: DFT, PBE
State: relaxed

a = 3.720 Å, b = 3.720 Å, c = 6.355 Å
α = 90.00°, β = 90.00°, γ = 120.00°
Fractional coordinates of all 3 atoms:
Y  0.000  0.000  0.000
Zr  0.667  0.333  0.444
Pt  0.333  0.667  0.694

Results
The calculation puts the density of states at the Fermi level at 3.963 states/eV/cell. As for the theoretical density: 8.2 g/cm³. The energy above the most stable polymorph in this dataset is 376 meV per atom.

Material: Mo2OsRh
Method: DFT, PBE
State: relaxed

a = 3.903 Å, b = 3.903 Å, c = 7.892 Å
α = 90.00°, β = 90.00°, γ = 90.00°
Fractional coordinates of all 8 atoms:
Mo  0.000  0.000  0.000
Mo  0.000  0.500  0.250
Mo  0.500  0.000  0.750
Mo  0.500  0.500  0.500
Os  0.000  0.500  0.750
Os  0.500  0.000  0.250
Rh  0.000  0.000  0.500
Rh  0.500  0.500  0.000

Results
The calculation puts the density of states at the Fermi level at 6.442 states/eV/cell. As for the theoretical density: 13.4 g/cm³. The energy above the most stable polymorph in this dataset is 77 meV per atom.

Material: BaLa2GeN
Method: DFT, PBE
State: relaxed

a = 5.046 Å, b = 5.046 Å, c = 5.481 Å
α = 90.00°, β = 90.00°, γ = 90.00°
Fractional coordinates of all 5 atoms:
Ba  0.000  0.000  0.000
La  0.000  0.500  0.500
La  0.500  0.000  0.500
Ge  0.500  0.500  0.000
N  0.000  0.000  0.500

Results
The raw formation energy comes out at -0.71 eV per atom. The calculation puts the density of states at the Fermi level at 2.260 states/eV/cell. As for the theoretical density: 6.0 g/cm³.

Material: Tl4Cd3Pb
Method: DFT, PBE
State: relaxed

a = 20.380 Å, b = 4.743 Å, c = 4.771 Å
α = 90.00°, β = 102.74°, γ = 90.00°
Fractional coordinates of all 16 atoms:
Tl  0.129  0.000  0.129
Tl  0.129  0.500  0.629
Tl  0.371  0.000  0.371
Tl  0.371  0.500  0.871
Tl  0.629  0.000  0.629
Tl  0.629  0.500  0.129
Tl  0.871  0.000  0.871
Tl  0.871  0.500  0.371
Cd  0.000  0.000  0.500
Cd  0.248  0.000  0.745
Cd  0.252  0.500  0.255
Cd  0.500  0.500  0.500
Cd  0.748  0.500  0.745
Cd  0.752  0.000  0.255
Pb  0.000  0.500  0.000
Pb  0.500  0.000  0.000

Results
The calculation puts the density of states at the Fermi level at 5.526 states/eV/cell. The calculated total energy comes out at -31.044 eV per cell. As for the theoretical density: 10.1 g/cm³.

Material: KRuPb4
Method: DFT, PBE
State: relaxed

a = 6.424 Å, b = 6.424 Å, c = 6.424 Å
α = 60.00°, β = 60.00°, γ = 60.00°
Fractional coordinates of all 6 atoms:
K  0.000  0.000  0.000
Ru  0.250  0.250  0.250
Pb  0.128  0.624  0.624
Pb  0.624  0.128  0.624
Pb  0.624  0.624  0.128
Pb  0.624  0.624  0.624

Results
The calculation puts the density of states at the Fermi level at 9.751 states/eV/cell. The calculated total energy comes out at -21.343 eV per cell. As for the theoretical density: 8.6 g/cm³.

Material: Ba2HgPdAu6
Method: DFT, PBE
State: relaxed

a = 7.433 Å, b = 7.433 Å, c = 7.433 Å
α = 60.00°, β = 60.00°, γ = 60.00°
Fractional coordinates of all 10 atoms:
Ba  0.250  0.250  0.250
Ba  0.750  0.750  0.750
Hg  0.000  0.000  0.000
Pd  0.500  0.500  0.500
Au  0.255  0.255  0.745
Au  0.255  0.745  0.255
Au  0.255  0.745  0.745
Au  0.745  0.255  0.255
Au  0.745  0.255  0.745
Au  0.745  0.745  0.255

Results
The calculation puts the density of states at the Fermi level at 4.040 states/eV/cell. The calculated total energy comes out at -31.664 eV per cell. As for the theoretical density: 10.1 g/cm³.

Material: TaTl3Ge
Method: DFT, PBE
State: relaxed

a = 5.380 Å, b = 5.380 Å, c = 5.380 Å
α = 90.00°, β = 90.00°, γ = 90.00°
Fractional coordinates of all 5 atoms:
Ta  0.000  0.000  0.000
Tl  0.000  0.500  0.500
Tl  0.500  0.000  0.500
Tl  0.500  0.500  0.000
Ge  0.500  0.500  0.500

Results
The calculation puts the density of states at the Fermi level at 7.267 states/eV/cell. As for the theoretical density: 9.2 g/cm³. The energy above the most stable polymorph in this dataset is 402 meV per atom.